The following is a DFT calculation (PBE) of a relaxed Zr3Pb crystal.

Magnetic moment ... 0.000 μB/atom
E_form ... -0.140 eV/atom

Cell: 4.3916 4.3916 9.6483 Å, 90.00 90.00 90.00°
Sites, in units of the cell vectors:
Zr (0.0000, 0.0000, 0.0000)
Zr (0.0000, 0.5000, 0.2500)
Zr (0.0000, 0.5000, 0.7500)
Zr (0.5000, 0.0000, 0.2500)
Zr (0.5000, 0.0000, 0.7500)
Zr (0.5000, 0.5000, 0.5000)
Pb (0.0000, 0.0000, 0.5000)
Pb (0.5000, 0.5000, 0.0000)

---

The following is a DFT calculation (PBE) of a relaxed Zr2Pb crystal.

Magnetic moment ... 0.000 μB/atom
E_form ... 0.236 eV/atom

Cell: 4.4259 4.4259 4.1454 Å, 90.00 90.00 90.00°
Sites, in units of the cell vectors:
Zr (0.0000, 0.5000, 0.0000)
Zr (0.5000, 0.0000, 0.0000)
Pb (0.0000, 0.0000, 0.5000)

---

The following is a DFT calculation (PBE) of a relaxed Zr3Pb crystal.

Magnetic moment ... 0.000 μB/atom
E_form ... -0.039 eV/atom

Cell: 10.0825 10.0825 3.1811 Å, 90.00 90.00 120.00°
Sites, in units of the cell vectors:
Zr (0.0000, 0.5000, 0.0000)
Zr (0.1667, 0.3333, 0.3333)
Zr (0.1667, 0.8333, 0.3333)
Zr (0.3333, 0.1667, 0.6667)
Zr (0.5000, 0.0000, 0.0000)
Zr (0.5000, 0.5000, 0.0000)
Zr (0.6667, 0.8333, 0.3333)
Zr (0.8333, 0.1667, 0.6667)
Zr (0.8333, 0.6667, 0.6667)
Pb (0.0000, 0.0000, 0.0000)
Pb (0.3333, 0.6667, 0.6667)
Pb (0.6667, 0.3333, 0.3333)

---

The following is a DFT calculation (PBE) of a relaxed Zr3Pb2 crystal.

Magnetic moment ... 0.000 μB/atom
E_form ... -0.166 eV/atom

Cell: 10.2993 4.1707 7.3916 Å, 90.00 131.34 90.00°
Sites, in units of the cell vectors:
Zr (0.0000, 0.0000, 0.0000)
Zr (0.2025, 0.0000, 0.6150)
Zr (0.2975, 0.5000, 0.3850)
Zr (0.5000, 0.5000, 0.0000)
Zr (0.7025, 0.5000, 0.6150)
Zr (0.7975, 0.0000, 0.3850)
Pb (0.0780, 0.5000, 0.7830)
Pb (0.4220, 0.0000, 0.2170)
Pb (0.5780, 0.0000, 0.7830)
Pb (0.9220, 0.5000, 0.2170)

---

The following is a DFT calculation (PBE) of a relaxed Zr2Pb crystal.

Magnetic moment ... 0.000 μB/atom
E_form ... 0.144 eV/atom

Cell: 3.1967 5.2460 8.8319 Å, 90.00 90.00 90.00°
Sites, in units of the cell vectors:
Zr (0.0000, 0.0000, 0.1913)
Zr (0.0000, 0.0000, 0.8087)
Zr (0.5000, 0.5000, 0.3087)
Zr (0.5000, 0.5000, 0.6913)
Pb (0.0000, 0.5000, 0.0000)
Pb (0.5000, 0.0000, 0.5000)

---

The following is a DFT calculation (PBE) of a relaxed Zr4Pb crystal.

Magnetic moment ... 0.000 μB/atom
E_form ... 0.863 eV/atom

Cell: 6.6031 6.6031 6.6031 Å, 90.00 90.00 90.00°
Sites, in units of the cell vectors:
Zr (0.2500, 0.2500, 0.2500)
Zr (0.2500, 0.2500, 0.7500)
Zr (0.2500, 0.7500, 0.2500)
Zr (0.2500, 0.7500, 0.7500)
Zr (0.7500, 0.2500, 0.2500)
Zr (0.7500, 0.2500, 0.7500)
Zr (0.7500, 0.7500, 0.2500)
Zr (0.7500, 0.7500, 0.7500)
Pb (0.0000, 0.0000, 0.0000)
Pb (0.5000, 0.5000, 0.5000)

---

The following is a DFT calculation (PBE) of a relaxed Zr3Pb2 crystal.

Magnetic moment ... 0.000 μB/atom
E_form ... 0.057 eV/atom

Cell: 5.0779 5.0779 5.9873 Å, 90.00 90.00 120.00°
Sites, in units of the cell vectors:
Zr (0.0000, 0.0000, 0.0000)
Zr (0.3333, 0.6667, 0.2440)
Zr (0.6667, 0.3333, 0.7560)
Pb (0.3333, 0.6667, 0.7462)
Pb (0.6667, 0.3333, 0.2538)

---

The following is a DFT calculation (PBE) of a relaxed Zr2Pb crystal.

Magnetic moment ... 0.000 μB/atom
E_form ... -0.199 eV/atom

Cell: 5.1473 5.1473 6.0392 Å, 90.00 90.00 120.00°
Sites, in units of the cell vectors:
Zr (0.0000, 0.0000, 0.0000)
Zr (0.0000, 0.0000, 0.5000)
Zr (0.3333, 0.6667, 0.2500)
Zr (0.6667, 0.3333, 0.7500)
Pb (0.3333, 0.6667, 0.7500)
Pb (0.6667, 0.3333, 0.2500)